(1)
Entry from the Alexandria database: an optimized crystal structure of PmSmTeSe (PBE).

Cell: 4.311 4.311 7.536 Å, 73.38 73.38 60.00°
Positions (direct):
Se1 0.249 0.249 0.252
Te1 0.751 0.751 0.748
Sm1 0.511 0.511 0.466
Pm1 0.989 0.989 0.034

Calculated values
Final energy ... -22.6 eV/cell

---

(2)
Entry from the Alexandria database: an optimized crystal structure of PmSmTeSe2 (PBE).

Cell: 4.687 4.687 7.924 Å, 107.20 107.20 90.00°
Positions (direct):
Sm1 0.861 0.861 0.723
Se1 0.750 0.250 0.501
Se2 0.250 0.750 0.501
Te1 0.500 0.500 0.001
Pm1 0.137 0.137 0.275

Calculated values
Final energy ... -26.5 eV/cell